1.
The following is a PBE calculation of an optimized crystal structure of YHfAu, from Alexandria.

```
data_YHfAu
_space_group_name_H-M_alt 'P n m a'
_space_group_IT_number 62
_space_group_name_Hall '-P 2ac 2n'
_cell_length_a 7.5858
_cell_length_b 4.6700
_cell_length_c 8.0769
_cell_angle_alpha 90.00
_cell_angle_beta 90.00
_cell_angle_gamma 90.00
loop_
_atom_site_label
_atom_site_type_symbol
_atom_site_fract_x
_atom_site_fract_y
_atom_site_fract_z
Y1 Y 0.0219 0.2500 0.1714
Hf1 Hf 0.1473 0.2500 0.5773
Au1 Au 0.2146 0.7500 0.3956
```

## Properties
N(E_F), states/eV/cell: 8.20
Energy of formation from the pure elements, eV/atom: -0.47
Crystal system: orthorhombic

2.
The following is a PBE calculation of an optimized crystal structure of SnOs2SeN, from Alexandria.

```
data_SnOs2SeN
_space_group_name_H-M_alt 'P 4/m m m'
_space_group_IT_number 123
_space_group_name_Hall '-P 4 2'
_cell_length_a 4.7636
_cell_length_b 4.7636
_cell_length_c 3.7399
_cell_angle_alpha 90.00
_cell_angle_beta 90.00
_cell_angle_gamma 90.00
loop_
_atom_site_label
_atom_site_type_symbol
_atom_site_fract_x
_atom_site_fract_y
_atom_site_fract_z
Sn1 Sn 0.0000 0.0000 0.0000
Os1 Os 0.0000 0.5000 0.5000
Se1 Se 0.5000 0.5000 0.5000
N1 N 0.5000 0.5000 0.0000
```

## Properties
N(E_F), states/eV/cell: 4.66
Crystal system: tetragonal
Energy relative to the elements, uncorrected, eV per formula unit: 8.793

3.
The following is a PBE calculation of an optimized crystal structure of Rb3SmPa3Se8, from Alexandria.

```
data_Rb3SmPa3Se8
_space_group_name_H-M_alt 'C 1 2/m 1'
_space_group_IT_number 12
_space_group_name_Hall '-C 2y'
_cell_length_a 14.5093
_cell_length_b 8.3782
_cell_length_c 9.5542
_cell_angle_alpha 90.00
_cell_angle_beta 120.42
_cell_angle_gamma 90.00
loop_
_atom_site_label
_atom_site_type_symbol
_atom_site_fract_x
_atom_site_fract_y
_atom_site_fract_z
Rb1 Rb 0.0000 0.0000 0.0000
Rb2 Rb 0.2500 0.2500 0.0000
Sm1 Sm 0.0000 0.0000 0.5000
Pa1 Pa 0.0000 0.5000 0.5000
Pa2 Pa 0.2500 0.2500 0.5000
Se1 Se 0.0186 0.2550 0.3020
Se2 Se 0.2338 0.5000 0.7004
Se3 Se 0.2360 0.0000 0.6976
```

## Properties
N(E_F), states/eV/cell: 37.15
Crystal system: monoclinic
Energy relative to the elements, uncorrected, eV per formula unit: -21.551

4.
The following is a PBE calculation of an optimized crystal structure of CaLaSi2Hg, from Alexandria.

```
data_CaLaSi2Hg
_space_group_name_H-M_alt 'P 4/m m m'
_space_group_IT_number 123
_space_group_name_Hall '-P 4 2'
_cell_length_a 5.2278
_cell_length_b 5.2278
_cell_length_c 5.3350
_cell_angle_alpha 90.00
_cell_angle_beta 90.00
_cell_angle_gamma 90.00
loop_
_atom_site_label
_atom_site_type_symbol
_atom_site_fract_x
_atom_site_fract_y
_atom_site_fract_z
Ca1 Ca 0.0000 0.0000 0.0000
La1 La 0.5000 0.5000 0.5000
Si1 Si 0.0000 0.5000 0.0000
Hg1 Hg 0.0000 0.0000 0.5000
```

## Properties
N(E_F), states/eV/cell: 5.53
Crystal system: tetragonal
Energy relative to the elements, uncorrected, eV per formula unit: 1.900

no.,spin magnetization (μB per cell)
1,0.00
2,2.14
3,10.08
4,0.00